The following is a PBE-GGA calculation of a relaxed LaSmBeCu crystal, from Alexandria via LeMat-Bulk.

Summary:
SG: F-43m
Uncorrected energy in eV/cell: -17.30

Cell lengths 5.071, 5.071, 5.071 Å; angles 60.00, 60.00, 60.00 degrees
Sites, in units of the cell vectors:
La (0.000, 0.000, 0.000)
Be (0.750, 0.750, 0.750)
Sm (0.500, 0.500, 0.500)
Cu (0.250, 0.250, 0.250)

The following is a PBE-GGA calculation of a relaxed LaBeTlCu2 crystal, from Alexandria via LeMat-Bulk.

Summary:
SG: P4/mmm
Uncorrected energy in eV/cell: -17.60

Cell lengths 4.510, 5.219, 4.510 Å; angles 90.00, 90.00, 90.00 degrees
Sites, in units of the cell vectors:
Tl (0.500, 0.500, 0.500)
La (0.000, 0.500, 0.000)
Be (0.000, 0.000, 0.000)
Cu (0.500, 0.000, 0.000)
Cu (0.000, 0.000, 0.500)

The following is a PBE-GGA calculation of a relaxed LaTmBeCu crystal, from Alexandria via LeMat-Bulk.

Summary:
SG: F-43m
Uncorrected energy in eV/cell: -17.21

Cell lengths 4.985, 4.985, 4.985 Å; angles 60.00, 60.00, 60.00 degrees
Sites, in units of the cell vectors:
Be (0.750, 0.750, 0.750)
La (0.500, 0.500, 0.500)
Cu (0.250, 0.250, 0.250)
Tm (0.000, 0.000, 0.000)

The following is a PBE-GGA calculation of a relaxed LaBeZnCu2 crystal, from Alexandria via LeMat-Bulk.

Summary:
SG: P4/mmm
Uncorrected energy in eV/cell: -18.35

Cell lengths 4.451, 4.451, 4.378 Å; angles 90.00, 90.00, 90.00 degrees
Sites, in units of the cell vectors:
La (0.500, 0.500, 0.500)
Be (0.000, 0.000, 0.000)
Cu (0.000, 0.500, 0.000)
Cu (0.500, 0.000, 0.000)
Zn (0.000, 0.000, 0.500)

The following is a PBE-GGA calculation of a relaxed LaBeZnCu6 crystal, from Alexandria via LeMat-Bulk.

Summary:
SG: Imma
Uncorrected energy in eV/cell: -68.95

Cell lengths 7.805, 5.146, 8.319 Å; angles 108.02, 117.98, 90.00 degrees
Sites, in units of the cell vectors:
Cu (0.003, 0.253, 0.007)
Cu (0.635, 0.885, 0.269)
Cu (0.365, 0.115, 0.731)
Be (0.500, 0.500, 0.000)
Zn (0.500, 0.000, 0.500)
Cu (0.151, 0.909, 0.821)
Be (0.500, 0.000, 0.000)
Cu (0.671, 0.909, 0.821)
Cu (0.997, 0.747, 0.993)
Cu (0.329, 0.091, 0.179)
Zn (0.000, 0.000, 0.500)
Cu (0.849, 0.091, 0.179)
Cu (0.671, 0.413, 0.821)
La (0.248, 0.498, 0.497)
Cu (0.329, 0.587, 0.179)
Cu (0.849, 0.587, 0.179)
La (0.752, 0.502, 0.503)
Cu (0.151, 0.413, 0.821)

The following is a PBE-GGA calculation of a relaxed LiBeCu2 crystal, from Alexandria via LeMat-Bulk.

Summary:
SG: F-43m
Uncorrected energy in eV/cell: -13.69

Cell lengths 3.976, 3.976, 3.976 Å; angles 60.00, 60.00, 60.00 degrees
Sites, in units of the cell vectors:
Cu (0.250, 0.250, 0.250)
Be (0.500, 0.500, 0.500)
Cu (0.000, 0.000, 0.000)
Li (0.750, 0.750, 0.750)

Here are the calculated DOS at the Fermi energy numbers, same order: 3.72, 4.58, 1.60, 2.53, 10.22, 1.32 (states/eV per cell).
Here are the calculated spin magnetization numbers, same order: 0.0, 0.0, 0.0, 0.0, 0.0, 0.0 (μB per cell).